K2NaTbCl6 at its PBEsol-relaxed geometry. Source: the Alexandria database, functional meta-GGA SCAN.

The structure in POSCAR format:
```
K2NaTbCl6
1.0
-1.588 6.930 2.238
-4.387 1.089 5.926
2.895 2.621 6.349
Na K Tb Cl
1 2 1 6
Direct
0.500 0.500 0.500
0.750 0.750 0.750
0.250 0.250 0.250
0.000 0.000 0.000
0.753 0.753 0.247
0.247 0.753 0.247
0.247 0.247 0.753
0.753 0.247 0.753
0.753 0.247 0.247
0.247 0.753 0.753
```

Computed properties:
The calculation puts the energy relative to the elements, uncorrected at -2.293 eV/atom. The value obtained for the size of the total moment is 0.00 μB/atom. The value obtained for the theoretical density is 2.68 g/cm³. The total energy comes out at -138.4 eV/cell. The crystal system is cubic.